[1]
{"formula": "CaSc2GeN", "functional": "GGA-PBE", "state": "relaxed", "sg": "P4/mmm", "energy_ev_per_atom": -6.547, "raw_formation_energy_ev_per_atom": -1.026, "polymorph_energy_ev_per_atom": 0.000, "lattice": [[4.403, 0.000, 0.000], [0.000, 4.403, 0.000], [0.000, 0.000, 4.713]], "species": ["Ca", "Sc", "Sc", "Ge", "N"], "frac_coords": [[0.000, 0.000, 0.000], [0.000, 0.500, 0.500], [0.500, 0.000, 0.500], [0.500, 0.500, 0.000], [0.000, 0.000, 0.500]]}

=====

[2]
{"formula": "CaSc2GeN", "functional": "GGA-PBE", "state": "relaxed", "sg": "P4/mmm", "energy_ev_per_atom": -3.480, "raw_formation_energy_ev_per_atom": 2.041, "polymorph_energy_ev_per_atom": 3.067, "lattice": [[5.360, 0.000, 0.000], [0.000, 5.360, 0.000], [0.000, 0.000, 5.118]], "species": ["Ca", "Sc", "Sc", "Ge", "N"], "frac_coords": [[0.000, 0.000, 0.000], [0.000, 0.500, 0.000], [0.500, 0.000, 0.000], [0.000, 0.000, 0.500], [0.500, 0.500, 0.500]]}

=====

[3]
{"formula": "CaGeSe2N", "functional": "GGA-PBE", "state": "relaxed", "sg": "P4/mmm", "energy_ev_per_atom": -3.744, "raw_formation_energy_ev_per_atom": 0.639, "polymorph_energy_ev_per_atom": 0.813, "lattice": [[5.497, 0.000, 0.000], [0.000, 5.497, 0.000], [0.000, 0.000, 4.462]], "species": ["Ca", "Ge", "Se", "Se", "N"], "frac_coords": [[0.000, 0.000, 0.000], [0.500, 0.500, 0.500], [0.000, 0.500, 0.000], [0.500, 0.000, 0.000], [0.000, 0.000, 0.500]]}

=====

Number 1: DOS(E_F) 1.88 states/eV/cell. Number 2: DOS(E_F) 4.88 states/eV/cell. Number 3: DOS(E_F) 4.31 states/eV/cell.